# PBE Ba2CaBr, relaxed
data_Ba2CaBr
_chemical_formula_sum 'Ba4 Ca2 Br2'
_cell_length_a 4.3598
_cell_length_b 7.5653
_cell_length_c 12.7550
_cell_angle_alpha 90.00
_cell_angle_beta 90.00
_cell_angle_gamma 90.00
_symmetry_space_group_name_H-M 'I m m m'
_symmetry_Int_Tables_number 71
_symmetry_space_group_name_Hall '-I 2 2'
loop_
_atom_site_label
_atom_site_type_symbol
_atom_site_fract_x
_atom_site_fract_y
_atom_site_fract_z
_atom_site_occupancy
Ba1 Ba 0.0000 0.0000 0.1974 1
Ca1 Ca 0.0000 0.5000 0.0000 1
Br1 Br 0.0000 0.5000 0.5000 1
# uncorrected formation energy = -0.58 eV/atom



# PBE Ba2CaBr, relaxed
data_Ba2CaBr
_chemical_formula_sum 'Ba4 Ca2 Br2'
_cell_length_a 5.1840
_cell_length_b 5.1840
_cell_length_c 14.7217
_cell_angle_alpha 90.00
_cell_angle_beta 90.00
_cell_angle_gamma 90.00
_symmetry_space_group_name_H-M 'I -4 m 2'
_symmetry_Int_Tables_number 119
_symmetry_space_group_name_Hall 'I -4 -2'
loop_
_atom_site_label
_atom_site_type_symbol
_atom_site_fract_x
_atom_site_fract_y
_atom_site_fract_z
_atom_site_occupancy
Ba1 Ba 0.0000 0.0000 0.0000 1
Ba2 Ba 0.0000 0.5000 0.2500 1
Ca1 Ca 0.0000 0.0000 0.5000 1
Br1 Br 0.0000 0.5000 0.7500 1
# uncorrected formation energy = -0.43 eV/atom



# PBE Ba2CaBr, relaxed
data_Ba2CaBr
_chemical_formula_sum 'Ba8 Ca4 Br4'
_cell_length_a 10.0972
_cell_length_b 10.0972
_cell_length_c 8.4309
_cell_angle_alpha 90.00
_cell_angle_beta 90.00
_cell_angle_gamma 90.00
_symmetry_space_group_name_H-M 'I -4 2 d'
_symmetry_Int_Tables_number 122
_symmetry_space_group_name_Hall 'I -4 2bw'
loop_
_atom_site_label
_atom_site_type_symbol
_atom_site_fract_x
_atom_site_fract_y
_atom_site_fract_z
_atom_site_occupancy
Ba1 Ba 0.1731 0.7500 0.1250 1
Ca1 Ca 0.0000 0.0000 0.5000 1
Br1 Br 0.0000 0.0000 0.0000 1
# uncorrected formation energy = -0.54 eV/atom



# PBE Ba2CaBr6, relaxed
data_Ba2CaBr6
_chemical_formula_sum 'Ba4 Ca2 Br12'
_cell_length_a 7.3626
_cell_length_b 8.5909
_cell_length_c 12.5218
_cell_angle_alpha 90.00
_cell_angle_beta 123.81
_cell_angle_gamma 90.00
_symmetry_space_group_name_H-M 'P 1 21/c 1'
_symmetry_Int_Tables_number 14
loop_
_symmetry_equiv_pos_as_xyz
'x,y,z'
'-x,-y,-z'
'-x,y+1/2,-z+1/2'
'x,-y+1/2,z+1/2'
loop_
_atom_site_label
_atom_site_type_symbol
_atom_site_fract_x
_atom_site_fract_y
_atom_site_fract_z
_atom_site_occupancy
Ba1 Ba 0.2202 0.1076 0.2551 1
Ca1 Ca 0.5000 0.0000 0.0000 1
Br1 Br 0.1140 0.1654 0.9407 1
Br2 Br 0.2845 0.6974 0.9415 1
Br3 Br 0.3620 0.0381 0.7385 1
# uncorrected formation energy = -2.13 eV/atom



# PBE Ba2CaBr, relaxed
data_Ba2CaBr
_chemical_formula_sum 'Ba2 Ca1 Br1'
_cell_length_a 4.0585
_cell_length_b 4.0585
_cell_length_c 11.0332
_cell_angle_alpha 90.00
_cell_angle_beta 90.00
_cell_angle_gamma 90.00
_symmetry_space_group_name_H-M 'P 4/m m m'
_symmetry_Int_Tables_number 123
_symmetry_space_group_name_Hall '-P 4 2'
loop_
_atom_site_label
_atom_site_type_symbol
_atom_site_fract_x
_atom_site_fract_y
_atom_site_fract_z
_atom_site_occupancy
Ba1 Ba 0.0000 0.0000 0.2131 1
Ca1 Ca 0.5000 0.5000 0.5000 1
Br1 Br 0.5000 0.5000 0.0000 1
# uncorrected formation energy = -0.67 eV/atom



# PBE Ba2CaBr, relaxed
data_Ba2CaBr
_chemical_formula_sum 'Ba4 Ca2 Br2'
_cell_length_a 7.5499
_cell_length_b 4.3499
_cell_length_c 11.7847
_cell_angle_alpha 90.00
_cell_angle_beta 102.28
_cell_angle_gamma 90.00
_symmetry_space_group_name_H-M 'C 1 2/m 1'
_symmetry_Int_Tables_number 12
loop_
_symmetry_equiv_pos_as_xyz
'x,y,z'
'-x,-y,-z'
'-x,y,-z'
'x,-y,z'
'x+1/2,y+1/2,z'
'-x+1/2,-y+1/2,-z'
'-x+1/2,y+1/2,-z'
'x+1/2,-y+1/2,z'
loop_
_atom_site_label
_atom_site_type_symbol
_atom_site_fract_x
_atom_site_fract_y
_atom_site_fract_z
_atom_site_occupancy
Ba1 Ba 0.2357 0.0000 0.2098 1
Ca1 Ca 0.0000 0.0000 0.5000 1
Br1 Br 0.0000 0.5000 0.0000 1
# uncorrected formation energy = -0.73 eV/atom



# PBE Ba2CaBr, relaxed
data_Ba2CaBr
_chemical_formula_sum 'Ba4 Ca2 Br2'
_cell_length_a 5.8133
_cell_length_b 5.8133
_cell_length_c 11.5490
_cell_angle_alpha 90.00
_cell_angle_beta 90.00
_cell_angle_gamma 90.00
_symmetry_space_group_name_H-M 'I 4/m m m'
_symmetry_Int_Tables_number 139
_symmetry_space_group_name_Hall '-I 4 2'
loop_
_atom_site_label
_atom_site_type_symbol
_atom_site_fract_x
_atom_site_fract_y
_atom_site_fract_z
_atom_site_occupancy
Ba1 Ba 0.0000 0.5000 0.2500 1
Ca1 Ca 0.0000 0.0000 0.0000 1
Br1 Br 0.0000 0.0000 0.5000 1
# uncorrected formation energy = -0.34 eV/atom



# PBE Ba2CaBr, relaxed
data_Ba2CaBr
_chemical_formula_sum 'Ba8 Ca4 Br4'
_cell_length_a 9.1363
_cell_length_b 9.1363
_cell_length_c 9.1363
_cell_angle_alpha 90.00
_cell_angle_beta 90.00
_cell_angle_gamma 90.00
_symmetry_space_group_name_H-M 'F -4 3 m'
_symmetry_Int_Tables_number 216
_symmetry_space_group_name_Hall 'F -4 2 3'
loop_
_atom_site_label
_atom_site_type_symbol
_atom_site_fract_x
_atom_site_fract_y
_atom_site_fract_z
_atom_site_occupancy
Ba1 Ba 0.0000 0.0000 0.0000 1
Ba2 Ba 0.2500 0.2500 0.2500 1
Ca1 Ca 0.0000 0.0000 0.5000 1
Br1 Br 0.2500 0.2500 0.7500 1
# uncorrected formation energy = -0.18 eV/atom



# PBE Ba4CaBr10, relaxed
data_Ba4CaBr10
_chemical_formula_sum 'Ba8 Ca2 Br20'
_cell_length_a 12.1335
_cell_length_b 12.1335
_cell_length_c 7.6793
_cell_angle_alpha 90.00
_cell_angle_beta 90.00
_cell_angle_gamma 90.00
_symmetry_space_group_name_H-M 'I 4/m'
_symmetry_Int_Tables_number 87
_symmetry_space_group_name_Hall '-I 4'
loop_
_atom_site_label
_atom_site_type_symbol
_atom_site_fract_x
_atom_site_fract_y
_atom_site_fract_z
_atom_site_occupancy
Ba1 Ba 0.1009 0.7027 0.0000 1
Ca1 Ca 0.0000 0.0000 0.5000 1
Br1 Br 0.0000 0.5000 0.2500 1
Br2 Br 0.0965 0.1917 0.2608 1
# uncorrected formation energy = -2.15 eV/atom



# PBE Ba2CaBr, relaxed
data_Ba2CaBr
_chemical_formula_sum 'Ba2 Ca1 Br1'
_cell_length_a 4.3385
_cell_length_b 4.2348
_cell_length_c 11.2622
_cell_angle_alpha 90.00
_cell_angle_beta 90.13
_cell_angle_gamma 90.00
_symmetry_space_group_name_H-M 'P 1 2/m 1'
_symmetry_Int_Tables_number 10
loop_
_symmetry_equiv_pos_as_xyz
'x,y,z'
'-x,-y,-z'
'-x,y,-z'
'x,-y,z'
loop_
_atom_site_label
_atom_site_type_symbol
_atom_site_fract_x
_atom_site_fract_y
_atom_site_fract_z
_atom_site_occupancy
Ba1 Ba 0.0013 0.0000 0.2696 1
Ca1 Ca 0.5000 0.5000 0.0000 1
Br1 Br 0.0000 0.5000 0.5000 1
# uncorrected formation energy = -0.68 eV/atom



# PBE BaCa2Br2, relaxed
data_BaCa2Br2
_chemical_formula_sum 'Ba2 Ca4 Br4'
_cell_length_a 5.3086
_cell_length_b 5.3086
_cell_length_c 13.9344
_cell_angle_alpha 90.00
_cell_angle_beta 90.00
_cell_angle_gamma 90.00
_symmetry_space_group_name_H-M 'I 4/m m m'
_symmetry_Int_Tables_number 139
_symmetry_space_group_name_Hall '-I 4 2'
loop_
_atom_site_label
_atom_site_type_symbol
_atom_site_fract_x
_atom_site_fract_y
_atom_site_fract_z
_atom_site_occupancy
Ba1 Ba 0.0000 0.0000 0.0000 1
Ca1 Ca 0.0000 0.0000 0.3667 1
Br1 Br 0.0000 0.5000 0.2500 1
# energy relative to the lowest polymorph listed for this composition = 0.00 eV per formula unit
# uncorrected formation energy = -1.01 eV/atom



# PBE Ba2CaBr, relaxed
data_Ba2CaBr
_chemical_formula_sum 'Ba4 Ca2 Br2'
_cell_length_a 4.0926
_cell_length_b 7.0652
_cell_length_c 13.0330
_cell_angle_alpha 90.00
_cell_angle_beta 90.00
_cell_angle_gamma 90.00
_symmetry_space_group_name_H-M 'I m m 2'
_symmetry_Int_Tables_number 44
loop_
_symmetry_equiv_pos_as_xyz
'x,y,z'
'-x,-y,z'
'-x,y,z'
'x,-y,z'
'x+1/2,y+1/2,z+1/2'
'-x+1/2,-y+1/2,z+1/2'
'-x+1/2,y+1/2,z+1/2'
'x+1/2,-y+1/2,z+1/2'
loop_
_atom_site_label
_atom_site_type_symbol
_atom_site_fract_x
_atom_site_fract_y
_atom_site_fract_z
_atom_site_occupancy
Ba1 Ba 0.0000 0.0000 0.0000 1
Ba2 Ba 0.0000 0.5000 0.1956 1
Ca1 Ca 0.0000 0.0000 0.4016 1
Br1 Br 0.0000 0.5000 0.7139 1
# uncorrected formation energy = -0.61 eV/atom



# PBE Ba2CaBr, relaxed
data_Ba2CaBr
_chemical_formula_sum 'Ba4 Ca2 Br2'
_cell_length_a 4.4070
_cell_length_b 7.1005
_cell_length_c 11.9115
_cell_angle_alpha 90.00
_cell_angle_beta 90.00
_cell_angle_gamma 90.00
_symmetry_space_group_name_H-M 'C m m 2'
_symmetry_Int_Tables_number 35
loop_
_symmetry_equiv_pos_as_xyz
'x,y,z'
'-x,-y,z'
'-x,y,z'
'x,-y,z'
'x+1/2,y+1/2,z'
'-x+1/2,-y+1/2,z'
'-x+1/2,y+1/2,z'
'x+1/2,-y+1/2,z'
loop_
_atom_site_label
_atom_site_type_symbol
_atom_site_fract_x
_atom_site_fract_y
_atom_site_fract_z
_atom_site_occupancy
Ba1 Ba 0.0000 0.0000 0.0000 1
Ba2 Ba 0.0000 0.5000 0.3113 1
Ca1 Ca 0.0000 0.5000 0.7186 1
Br1 Br 0.0000 0.0000 0.5359 1
# uncorrected formation energy = -0.66 eV/atom



no.,Fermi-level density of states (states/eV/cell),calculated total energy (eV per atom)
1,8.787,-2.46
2,10.606,-2.31
3,27.472,-2.42
4,0.000,-3.90
5,5.295,-2.55
6,11.684,-2.61
7,10.601,-2.22
8,24.997,-2.06
9,0.000,-3.91
10,5.230,-2.56
11,6.895,-2.86
12,9.546,-2.49
13,6.870,-2.54